Entry from Alexandria via LeMat-Bulk: a relaxed TcPdBr2 crystal (PBE).

Summary:
crystal system	cubic
E_form (uncorrected)	2.946	eV/f.u.
energy above the lowest structure with this stoichiometry	313	meV per atom
density of states at the Fermi level	1.2602	states/eV per atom

Lattice parameters (Å, degrees): 4.646 4.646 4.646 60.00 60.00 60.00
Element x y z (fractional)
Tc  0.000  0.000  0.000
Pd  0.500  0.500  0.500
Br  0.250  0.250  0.250
Br  0.750  0.750  0.750